SbTeRuI2: optimized geometry, PBE.

E_form (uncorrected)   227.9 kJ/mol of formula units
Offset from the most stable computed form   0.018 eV per atom
Total DFT energy (no corrections)   -3.46 eV/atom

a = 5.355 Å, b = 5.355 Å, c = 5.199 Å
α = 90.00°, β = 90.00°, γ = 90.00°
Space group P4/mmm (No. 123)
Inequivalent atoms, fractional coordinates:
Sb1 0.000 0.000 0.000 [1 per cell]
Te1 0.500 0.500 0.000 [1 per cell]
Ru1 0.500 0.500 0.500 [1 per cell]
I1 0.000 0.500 0.500 [2 per cell]